Material: Nd2BeNi4Ge3
Method: DFT, PBE-GGA
State: relaxed

Values from the calculation:
The uncorrected energy comes out at -5.627 eV per atom. Its space group is P-4m2, No. 115. The calculation puts the formation energy at -603 meV per atom.

```
Nd2BeNi4Ge3
1.0
-3.6731 -0.3305 -1.7864
-1.2567 -2.4476 3.0368
-3.0955 7.7153 4.9374
Nd Be Ni Ge
2 1 4 3
Cartesian
-2.6272 1.8054 0.3680
-2.9332 4.5208 5.1947
-4.0126 2.4686 3.0939
-2.4649 -1.3891 0.6252
0.0000 0.0000 0.0000
-3.7524 4.6099 2.1627
-1.8080 1.7163 3.4000
-1.5477 3.8576 2.4687
-4.5232 6.5309 3.3921
-1.0372 -0.2047 2.1706
```